Record 1
Density functional theory data (PBE) for a geometry-optimized CdF3 structure.

Cell: 5.684 5.684 5.684 Å, 90.00 90.00 90.00°
Space group Fm-3m (No. 225)
Unique sites:
Cd1 0.000 0.000 0.000
F1 0.000 0.000 0.500
F2 0.250 0.250 0.250

Results
* VASP energy: -47.7 eV/cell
* density of states at the Fermi level: 2.21 states/eV/atom
* E_form (uncorrected): -5.40 eV per formula unit

Record 2
Density functional theory data (PBE) for a geometry-optimized CdF3 structure.

Cell: 3.354 3.354 4.149 Å, 90.00 90.00 90.00°
Space group P4mm (No. 99)
Unique sites:
Cd1 0.000 0.000 0.000
F1 0.000 0.500 0.502
F2 0.500 0.500 0.002

Results
* VASP energy: -11.8 eV/cell
* density of states at the Fermi level: 0.40 states/eV/atom
* E_form (uncorrected): -5.24 eV per formula unit

Record 3
Density functional theory data (PBE) for a geometry-optimized CdF3 structure.

Cell: 3.947 3.947 14.443 Å, 90.00 90.00 90.00°
Space group I-42d (No. 122)
Unique sites:
Cd1 0.000 0.000 0.000
F1 0.000 0.000 0.500
F2 0.215 0.250 0.125

Results
* VASP energy: -47.1 eV/cell
* density of states at the Fermi level: 0.03 states/eV/atom
* E_form (uncorrected): -5.24 eV per formula unit

Record 4
Density functional theory data (PBE) for a geometry-optimized CdF3 structure.

Cell: 3.5778 3.5778 22.8648 Å, 90.00 90.00 120.00°
Space group R-3m (No. 166, hexagonal axes)
Unique sites:
Cd1 0.0000 0.0000 0.0000
F1 0.0000 0.0000 0.0844
F2 0.0000 0.0000 0.5000

Results
* VASP energy: -27.0 eV/cell
* density of states at the Fermi level: 0.00 states/eV/atom
* E_form (uncorrected): -2.48 eV per formula unit

Record 5
Density functional theory data (PBE) for a geometry-optimized CdF3 structure.

Cell: 3.452 6.892 4.455 Å, 90.00 90.00 90.00°
Space group Imm2 (No. 44)
Unique sites:
Cd1 0.000 0.000 0.000
F1 0.000 0.311 0.298
F2 0.000 0.500 0.842

Results
* VASP energy: -24.4 eV/cell
* density of states at the Fermi level: 1.14 states/eV/atom
* E_form (uncorrected): -5.69 eV per formula unit

Record 6
Density functional theory data (PBE) for a geometry-optimized CdF5 structure.

Cell: 3.283 13.816 3.277 Å, 90.00 90.00 90.00°
Space group Cmmm (No. 65)
Unique sites:
Cd1 0.000 0.000 0.000
F1 0.000 0.150 0.500
F2 0.000 0.350 0.000
F3 0.000 0.500 0.500

Results
* VASP energy: -28.7 eV/cell
* density of states at the Fermi level: 0.43 states/eV/atom
* E_form (uncorrected): -4.09 eV per formula unit

Record 7
Density functional theory data (PBE) for a geometry-optimized CdF3 structure.

Cell: 4.087 3.619 7.273 Å, 90.00 97.27 90.00°
Space group P2_1/m (No. 11)
Unique sites:
Cd1 0.209 0.250 0.315
F1 0.084 0.250 0.842
F2 0.257 0.750 0.534
F3 0.428 0.750 0.160

Results
* VASP energy: -25.4 eV/cell
* density of states at the Fermi level: 0.31 states/eV/atom
* E_form (uncorrected): -6.18 eV per formula unit

Record 8
Density functional theory data (PBE) for a geometry-optimized Cd3F structure.

Cell: 3.100 3.166 8.482 Å, 90.00 90.00 90.00°
Space group Pmm2 (No. 25)
Unique sites:
Cd1 0.000 0.000 0.000
Cd2 0.000 0.500 0.422
Cd3 0.500 0.500 0.729
F1 0.500 0.000 0.275

Results
* VASP energy: -7.3 eV/cell
* density of states at the Fermi level: 0.14 states/eV/atom
* E_form (uncorrected): -2.64 eV per formula unit

Record 9
Density functional theory data (PBE) for a geometry-optimized Cd3F structure.

Cell: 3.006 5.535 9.532 Å, 90.00 90.00 90.00°
Space group Immm (No. 71)
Unique sites:
Cd1 0.000 0.000 0.000
Cd2 0.000 0.500 0.218
F1 0.000 0.000 0.500

Results
* VASP energy: -14.4 eV/cell
* density of states at the Fermi level: 0.39 states/eV/atom
* E_form (uncorrected): -2.58 eV per formula unit

Record 10
Density functional theory data (PBE) for a geometry-optimized CdF4 structure.

Cell: 4.283 4.283 4.283 Å, 90.00 90.00 90.00°
Space group Pm-3m (No. 221)
Unique sites:
Cd1 0.000 0.000 0.000
F1 0.000 0.000 0.500
F2 0.500 0.500 0.500

Results
* VASP energy: -13.4 eV/cell
* density of states at the Fermi level: 1.92 states/eV/atom
* E_form (uncorrected): -4.98 eV per formula unit

Record 11
Density functional theory data (PBE) for a geometry-optimized CdF3 structure.

Cell: 3.6690 3.6690 18.3174 Å, 90.00 90.00 120.00°
Space group R-3m (No. 166, hexagonal axes)
Unique sites:
Cd1 0.0000 0.0000 0.0000
F1 0.0000 0.0000 0.3807
F2 0.0000 0.0000 0.5000

Results
* VASP energy: -36.5 eV/cell
* density of states at the Fermi level: 0.00 states/eV/atom
* E_form (uncorrected): -5.63 eV per formula unit

Record 12
Density functional theory data (PBE) for a geometry-optimized Cd3F5 structure.

Cell: 6.7426 6.7426 5.9055 Å, 90.00 90.00 120.00°
Space group P6_3/mcm (No. 193)
Unique sites:
Cd1 0.0000 0.3790 0.2500
F1 0.0000 0.2719 0.7500
F2 0.3333 0.6667 0.0000

Results
* VASP energy: -55.0 eV/cell
* density of states at the Fermi level: 0.08 states/eV/atom
* E_form (uncorrected): -15.38 eV per formula unit

Record 13
Density functional theory data (PBE) for a geometry-optimized CdF3 structure.

Cell: 3.369 3.369 9.737 Å, 90.00 90.00 90.00°
Space group I4/mmm (No. 139)
Unique sites:
Cd1 0.000 0.000 0.000
F1 0.000 0.000 0.223
F2 0.000 0.000 0.500

Results
* VASP energy: -23.7 eV/cell
* density of states at the Fermi level: 0.38 states/eV/atom
* E_form (uncorrected): -5.30 eV per formula unit

Record 14
Density functional theory data (PBE) for a geometry-optimized Cd3F4 structure.

Cell: 15.385 3.750 4.033 Å, 90.00 90.80 90.00°
Space group C2/m (No. 12)
Unique sites:
Cd1 0.000 0.000 0.000
Cd2 0.178 0.500 0.505
F1 0.085 0.000 0.502
F2 0.093 0.500 0.001

Results
* VASP energy: -46.4 eV/cell
* density of states at the Fermi level: 0.01 states/eV/atom
* E_form (uncorrected): -12.99 eV per formula unit

Record 15
Density functional theory data (PBE) for a geometry-optimized CdF4 structure.

Cell: 6.285 3.579 7.287 Å, 90.00 101.04 90.00°
Space group C2/m (No. 12)
Unique sites:
Cd1 0.000 0.000 0.000
F1 0.053 0.500 0.420
F2 0.196 0.500 0.133

Results
* VASP energy: -29.6 eV/cell
* density of states at the Fermi level: 0.00 states/eV/atom
* E_form (uncorrected): -6.42 eV per formula unit

Record 16
Density functional theory data (PBE) for a geometry-optimized CdF5 structure.

Cell: 6.643 3.702 8.386 Å, 90.00 107.86 90.00°
Space group Cm (No. 8)
Unique sites:
Cd1 0.000 0.000 0.000
F1 0.011 0.000 0.725
F2 0.013 0.500 0.390
F3 0.205 0.500 0.101
F4 0.235 0.500 0.477
F5 0.303 0.000 0.893

Results
* VASP energy: -32.1 eV/cell
* E_form (uncorrected): -5.79 eV per formula unit

Record 17
Density functional theory data (PBE) for a geometry-optimized Cd5F structure.

Cell: 5.455 13.980 3.308 Å, 90.00 90.00 90.00°
Space group Cmmm (No. 65)
Unique sites:
Cd1 0.000 0.000 0.000
Cd2 0.000 0.181 0.500
Cd3 0.000 0.363 0.000
F1 0.000 0.500 0.500

Results
* VASP energy: -18.1 eV/cell
* density of states at the Fermi level: 0.24 states/eV/atom
* E_form (uncorrected): -2.61 eV per formula unit